Density functional theory data (PBE+U) for an optimized crystal structure of FePbBrO2.

Lattice parameters (Å, degrees): 7.1513 7.1513 5.4832 90.00 90.00 133.38
Closest atoms and distances in Å follow each position.
Positions (direct):
Fe: 0.0124 0.9876 0.7500  4 O 1.88
Fe: 0.9876 0.0124 0.2500  4 O 1.88
Pb: 0.3788 0.6212 0.7500  4 O 2.61
Pb: 0.6212 0.3788 0.2500  4 O 2.61
Br: 0.2515 0.7485 0.2500  4 Pb 3.21-3.31, 1 Fe 3.47
Br: 0.7485 0.2515 0.7500  4 Pb 3.21-3.31, 1 Fe 3.47
O: 0.2262 0.2262 0.0000  2 Fe 1.88
O: 0.2262 0.2262 0.5000  2 Fe 1.88
O: 0.7738 0.7738 0.0000  2 Fe 1.88
O: 0.7738 0.7738 0.5000  2 Fe 1.88

Space group: No. 63
Spin magnetization in μB/atom: 0.59
Energy in eV per atom: -5.263